(1)
Here is DyIn4Pd7 after structural relaxation from the Alexandria database. Energies are from GGA-PBE.

Lattice parameters (Å, degrees): 6.1353 6.1353 9.9270 119.37 119.37 48.08
Element x y z (fractional)
Dy (0.0000, 0.0000, 0.0000)
In (0.2612, 0.2612, 0.6662)
In (0.4112, 0.4112, 0.2248)
In (0.5888, 0.5888, 0.7752)
In (0.7388, 0.7388, 0.3338)
Pd (0.0664, 0.0664, 0.3335)
Pd (0.2178, 0.2178, 0.9062)
Pd (0.3590, 0.3590, 0.4645)
Pd (0.5000, 0.5000, 0.0000)
Pd (0.6410, 0.6410, 0.5355)
Pd (0.7822, 0.7822, 0.0938)
Pd (0.9336, 0.9336, 0.6665)

Total moment ... 0.0 μB per formula unit
Energy ... -4.78 eV per atom

=====

(2)
Here is ReMoSe2 after structural relaxation from the Alexandria database. Energies are from GGA-PBE.

Lattice parameters (Å, degrees): 3.4894 4.1637 6.2652 90.00 90.09 90.00
Element x y z (fractional)
Re (0.0000, 0.0000, 0.0000)
Mo (0.4998, 0.5000, 0.0284)
Se (0.5009, 0.0000, 0.2830)
Se (0.9989, 0.5000, 0.7424)

Total moment ... 0.0 μB per formula unit
Energy relative to the elements, uncorrected ... 3 meV/atom
E above lowest polymorph ... 80 meV per atom

=====

(3)
Here is ErTmGa after structural relaxation from the Alexandria database. Energies are from GGA-PBE.

Lattice parameters (Å, degrees): 8.2799 8.2799 5.0778 90.00 90.00 154.70
Element x y z (fractional)
Er (0.2236, 0.7764, 0.7500)
Er (0.7764, 0.2236, 0.2500)
Tm (0.0777, 0.9223, 0.2500)
Tm (0.9223, 0.0777, 0.7500)
Ga (0.4237, 0.5763, 0.2500)
Ga (0.5763, 0.4237, 0.7500)

Total moment ... 0.0 μB per formula unit
E above lowest polymorph ... 2 meV per atom

=====

(4)
Here is CaPr4Sn15 after structural relaxation from the Alexandria database. Energies are from GGA-PBE.

Lattice parameters (Å, degrees): 4.7464 4.7464 24.3286 90.00 90.00 90.00
Element x y z (fractional)
Ca (0.0000, 0.0000, 0.0000)
Pr (0.0000, 0.0000, 0.2004)
Pr (0.0000, 0.0000, 0.3996)
Pr (0.0000, 0.0000, 0.6004)
Pr (0.0000, 0.0000, 0.7996)
Sn (0.0000, 0.5000, 0.0982)
Sn (0.0000, 0.5000, 0.2995)
Sn (0.0000, 0.5000, 0.5000)
Sn (0.0000, 0.5000, 0.7005)
Sn (0.0000, 0.5000, 0.9018)
Sn (0.5000, 0.0000, 0.0982)
Sn (0.5000, 0.0000, 0.2995)
Sn (0.5000, 0.0000, 0.5000)
Sn (0.5000, 0.0000, 0.7005)
Sn (0.5000, 0.0000, 0.9018)
Sn (0.5000, 0.5000, 0.0000)
Sn (0.5000, 0.5000, 0.1980)
Sn (0.5000, 0.5000, 0.3999)
Sn (0.5000, 0.5000, 0.6001)
Sn (0.5000, 0.5000, 0.8020)

Total moment ... 0.0 μB per formula unit
Energy ... -4.54 eV per atom